# MgIn2Mo

Crystalline MgIn2Mo at its relaxed geometry (PBE, Alexandria via LeMat-Bulk).

Its formation energy from the elements is 2.28 eV per formula unit. The value obtained for the density of states at the Fermi level is 4.23 states/eV/f.u. The space-group type is F-43m (216). As for the total magnetic moment: 0.323 μB/atom.

Cell lengths 4.8619, 4.8619, 4.8619 Å; angles 60.00, 60.00, 60.00 degrees
Last column: nearest neighbours and their distance in Å.
Fractional positions:
In1 0.2500 0.2500 0.2500  4 In 2.98, 4 Mg 2.98
In2 0.0000 0.0000 0.0000  4 In 2.98, 4 Mo 2.98
Mg1 0.5000 0.5000 0.5000  4 Mo 2.98, 4 In 2.98
Mo1 0.7500 0.7500 0.7500  4 Mg 2.98, 4 In 2.98